Entry 1:
A plane-wave DFT calculation with PBE-GGA was carried out for crystalline AcHg4Bi at its relaxed geometry.

Results
Calculated density (g/cm3): 11.77
Energy relative to the lowest polymorph listed for this composition (eV per formula unit): 0.00
Energy of formation (eV per atom): -0.324
Space group: No. 12
D(E_F) (states/eV/f.u.): 2.92

abc: 7.8053 7.8053 4.9165
angles: 90.21 90.21 35.69
With the nearest neighbours (Å) after each atom.
Fractional positions:
Ac 0.0000 0.0000 0.0000  4 Bi 3.43, 8 Hg 3.55-3.58
Hg 0.1750 0.1750 0.5011  8 Hg 3.27-3.43, 2 Bi 3.53, 2 Ac 3.58
Hg 0.3232 0.3232 0.9987  8 Hg 3.23-3.43, 2 Ac 3.55, 2 Bi 3.59-3.60
Hg 0.6768 0.6768 0.0013  8 Hg 3.23-3.43, 2 Ac 3.55, 2 Bi 3.59-3.60
Hg 0.8250 0.8250 0.4989  8 Hg 3.27-3.43, 2 Bi 3.53, 2 Ac 3.58
Bi 0.5000 0.5000 0.5000  4 Ac 3.43, 8 Hg 3.53-3.60

---

Entry 2:
A plane-wave DFT calculation with PBE-GGA was carried out for crystalline Ac2HgPd3 at its relaxed geometry.

Results
Calculated density (g/cm3): 10.19
Energy relative to the lowest polymorph listed for this composition (eV per formula unit): 0.00
Energy of formation (eV per atom): -0.717
Space group: No. 44
D(E_F) (states/eV/f.u.): 3.65

abc: 9.3058 9.3058 9.3058
angles: 153.74 153.53 37.64
With the nearest neighbours (Å) after each atom.
Fractional positions:
Ac 0.0000 0.0000 0.0000  6 Pd 3.15-3.35, 4 Hg 3.51
Ac 0.7252 0.2252 0.5000  8 Pd 3.27-3.30
Hg 0.3972 0.3972 0.0000  3 Pd 2.74-2.78
Pd 0.1475 0.6475 0.5000  3 Pd 2.66-2.68
Pd 0.2984 0.7984 0.5000  1 Pd 2.66, 2 Hg 2.74
Pd 0.5551 0.5551 0.0000  2 Pd 2.68, 1 Hg 2.78

---

Entry 3:
A plane-wave DFT calculation with PBE-GGA was carried out for crystalline Ac2PdSe3 at its relaxed geometry.

Results
Calculated density (g/cm3): 7.71
Energy relative to the elements, uncorrected (eV per atom): -1.564
Energy relative to the lowest polymorph listed for this composition (eV per formula unit): 0.68
Space group: No. 71
D(E_F) (states/eV/f.u.): 2.10

abc: 9.1778 9.1778 9.1778
angles: 153.73 149.79 40.45
With the nearest neighbours (Å) after each atom.
Fractional positions:
Ac 0.1367 0.1367 0.0000  7 Se 3.14-3.26
Ac 0.8633 0.8633 0.0000  7 Se 3.14-3.26
Pd 0.5000 0.5000 0.0000  2 Se 2.39
Se 0.0000 0.5000 0.5000  2 Pd 2.39
Se 0.3206 0.3206 0.0000  1 Pd 3.09, 5 Ac 3.17-3.26
Se 0.6794 0.6794 0.0000  1 Pd 3.09, 5 Ac 3.17-3.26

---

Entry 4:
A plane-wave DFT calculation with PBE-GGA was carried out for crystalline Pm2Ag2Ge at its relaxed geometry.

Results
Calculated density (g/cm3): 7.65
Energy of formation (eV per atom): -0.241
Space group: No. 139
D(E_F) (states/eV/f.u.): 4.60

abc: 8.9252 8.9252 8.9252
angles: 155.14 155.14 35.45
With the nearest neighbours (Å) after each atom.
Fractional positions:
Pm 0.0960 0.0960 0.0000  4 Ge 3.17, 4 Ag 3.25, 1 Pm 3.26
Pm 0.9040 0.9040 0.0000  4 Ge 3.17, 4 Ag 3.25, 1 Pm 3.26
Ag 0.2500 0.7500 0.5000  4 Ag 2.72
Ag 0.7500 0.2500 0.5000  4 Ag 2.72
Ge 0.5000 0.5000 0.0000  8 Pm 3.17

---

Entry 5:
A plane-wave DFT calculation with PBE-GGA was carried out for crystalline CaPb5Se5 at its relaxed geometry.

Results
Calculated density (g/cm3): 7.30
Energy relative to the elements, uncorrected (eV per atom): -0.683
Space group: No. 12
D(E_F) (states/eV/f.u.): 1.23

abc: 7.4447 7.4447 8.5484
angles: 107.07 107.07 48.25
With the nearest neighbours (Å) after each atom.
Fractional positions:
Ca 0.0000 0.0000 0.0000  6 Se 2.97-3.04
Pb 0.0000 0.0000 0.5000  4 Se 3.04-3.08
Pb 0.3393 0.3393 0.1792  5 Se 3.04-3.06
Pb 0.3485 0.3485 0.6529  5 Se 3.02-3.33
Pb 0.6515 0.6515 0.3471  5 Se 3.02-3.33
Pb 0.6607 0.6607 0.8208  5 Se 3.04-3.06
Se 0.1643 0.1643 0.3287  1 Ca 2.97, 5 Pb 3.04-3.08
Se 0.1692 0.1692 0.8416  1 Ca 3.02, 5 Pb 3.05-3.33
Se 0.5000 0.5000 0.0000  4 Pb 3.02-3.04, 2 Ca 3.04
Se 0.8308 0.8308 0.1584  1 Ca 3.02, 5 Pb 3.05-3.33
Se 0.8357 0.8357 0.6713  1 Ca 2.97, 5 Pb 3.04-3.08

---

Entry 6:
A plane-wave DFT calculation with PBE-GGA was carried out for crystalline Hf2Ga2Ni7Pt at its relaxed geometry.

Results
Calculated density (g/cm3): 10.49
Energy of formation (eV per atom): -0.126
Space group: No. 12
D(E_F) (states/eV/f.u.): 14.23

abc: 3.4261 3.4261 15.0397
angles: 96.23 96.23 89.99
With the nearest neighbours (Å) after each atom.
Fractional positions:
Hf 0.1259 0.1259 0.2641  5 Ni 2.59-2.78
Hf 0.8741 0.8741 0.7359  5 Ni 2.59-2.78
Ga 0.3119 0.3119 0.6139  5 Ni 2.42-2.63
Ga 0.6881 0.6881 0.3861  5 Ni 2.42-2.63
Ni 0.0000 0.0000 0.0000  4 Pt 2.42, 8 Ni 2.62
Ni 0.0629 0.5629 0.1336  6 Ni 2.42-2.62, 2 Hf 2.59, 2 Pt 2.62
Ni 0.2230 0.2230 0.4510  5 Ga 2.42-2.63
Ni 0.4371 0.9371 0.8664  6 Ni 2.42-2.62, 2 Hf 2.59, 2 Pt 2.62
Ni 0.5629 0.0629 0.1336  6 Ni 2.42-2.62, 2 Hf 2.59, 2 Pt 2.62
Ni 0.7770 0.7770 0.5490  5 Ga 2.42-2.63
Ni 0.9371 0.4371 0.8664  6 Ni 2.42-2.62, 2 Hf 2.59, 2 Pt 2.62
Pt 0.5000 0.5000 0.0000  12 Ni 2.42-2.62